1.
Density functional theory data (PBE) for HfAgBF2 after structural relaxation.

## Properties
Crystal system: tetragonal
D(E_F), states/eV/cell: 4.50
Space-group type: No. 123

Lattice parameters (Å, degrees): 4.139 4.139 4.523 90.00 90.00 90.00
Fractional positions:
Hf1 0.000 0.000 0.000
Ag1 0.500 0.500 0.500
B1 0.500 0.500 0.000
F1 0.000 0.500 0.500
F2 0.500 0.000 0.500

---

2.
Density functional theory data (PBE) for AgBIF4 after structural relaxation.

## Properties
Crystal system: monoclinic
D(E_F), states/eV/cell: 3.75
Space-group type: No. 12

Lattice parameters (Å, degrees): 6.805 6.805 6.123 98.94 98.94 69.62
Fractional positions:
Ag1 0.213 0.213 0.125
Ag2 0.787 0.787 0.875
B1 0.362 0.362 0.741
B2 0.638 0.638 0.259
I1 0.014 0.014 0.743
I2 0.986 0.986 0.257
F1 0.177 0.472 0.854
F2 0.294 0.294 0.519
F3 0.472 0.177 0.854
F4 0.486 0.486 0.745
F5 0.514 0.514 0.255
F6 0.528 0.823 0.146
F7 0.706 0.706 0.481
F8 0.823 0.528 0.146

---

3.
Density functional theory data (PBE) for InAgB2F8 after structural relaxation.

## Properties
Crystal system: trigonal
D(E_F), states/eV/cell: 0.00
Space-group type: No. 147

Lattice parameters (Å, degrees): 5.188 5.188 8.250 90.00 90.00 120.00
Fractional positions:
In1 0.000 0.000 0.000
Ag1 0.000 0.000 0.500
B1 0.333 0.667 0.754
B2 0.667 0.333 0.246
F1 0.083 0.400 0.699
F2 0.317 0.917 0.699
F3 0.333 0.667 0.927
F4 0.400 0.317 0.301
F5 0.600 0.683 0.699
F6 0.667 0.333 0.073
F7 0.683 0.083 0.301
F8 0.917 0.600 0.301

---

4.
Density functional theory data (PBE) for KAgBF4 after structural relaxation.

## Properties
Crystal system: orthorhombic
Space-group type: No. 74

Lattice parameters (Å, degrees): 7.708 7.708 7.708 139.31 109.72 84.51
Fractional positions:
K1 0.000 0.000 0.000
K2 0.500 0.000 0.500
Ag1 0.500 0.000 0.000
Ag2 0.500 0.500 0.500
B1 0.155 0.405 0.750
B2 0.845 0.595 0.250
F1 0.044 0.662 0.382
F2 0.220 0.338 0.882
F3 0.229 0.262 0.533
F4 0.229 0.697 0.967
F5 0.771 0.303 0.033
F6 0.771 0.738 0.467
F7 0.780 0.662 0.118
F8 0.956 0.338 0.618

---

5.
Density functional theory data (PBE) for LiAgB2F8 after structural relaxation.

## Properties
Crystal system: trigonal
D(E_F), states/eV/cell: 0.00
Space-group type: No. 164

Lattice parameters (Å, degrees): 5.111 5.111 6.741 90.00 90.00 120.00
Fractional positions:
Li1 0.000 0.000 0.000
Ag1 0.000 0.000 0.500
B1 0.333 0.667 0.742
B2 0.667 0.333 0.258
F1 0.182 0.364 0.812
F2 0.182 0.818 0.812
F3 0.333 0.667 0.533
F4 0.364 0.182 0.188
F5 0.636 0.818 0.812
F6 0.667 0.333 0.467
F7 0.818 0.182 0.188
F8 0.818 0.636 0.188

---

6.
Density functional theory data (PBE) for LiAg2BF6 after structural relaxation.

## Properties
Crystal system: triclinic
D(E_F), states/eV/cell: 0.00
Space-group type: No. 1

Lattice parameters (Å, degrees): 4.794 5.196 6.242 73.87 78.80 89.00
Fractional positions:
Li1 0.000 0.000 0.000
Ag1 0.376 0.817 0.506
Ag2 0.929 0.415 0.499
B1 0.504 0.373 0.057
F1 0.025 0.016 0.693
F2 0.357 0.152 0.029
F3 0.402 0.616 0.942
F4 0.463 0.351 0.294
F5 0.799 0.356 0.972
F6 0.823 0.803 0.297

---

7.
Density functional theory data (PBE) for NaAg2BF6 after structural relaxation.

## Properties
Crystal system: triclinic
Space-group type: No. 1

Lattice parameters (Å, degrees): 4.637 5.376 6.278 72.44 77.06 88.65
Fractional positions:
Na1 0.000 0.000 0.000
Ag1 0.331 0.821 0.459
Ag2 0.569 0.602 0.890
B1 0.806 0.341 0.435
F1 0.082 0.666 0.831
F2 0.478 0.938 0.072
F3 0.498 0.306 0.455
F4 0.872 0.245 0.654
F5 0.887 0.613 0.343
F6 0.963 0.207 0.285

---

8.
Density functional theory data (PBE) for NaAgBF5 after structural relaxation.

## Properties
Crystal system: monoclinic
D(E_F), states/eV/cell: 0.00
Space-group type: No. 15

Lattice parameters (Å, degrees): 5.982 5.982 7.799 108.18 108.18 100.12
Fractional positions:
Na1 0.000 0.000 0.000
Na2 0.000 0.000 0.500
Ag1 0.336 0.664 0.750
Ag2 0.664 0.336 0.250
B1 0.328 0.672 0.250
B2 0.672 0.328 0.750
F1 0.103 0.897 0.750
F2 0.169 0.687 0.351
F3 0.268 0.423 0.114
F4 0.313 0.831 0.149
F5 0.423 0.268 0.614
F6 0.577 0.732 0.386
F7 0.687 0.169 0.851
F8 0.732 0.577 0.886
F9 0.831 0.313 0.649
F10 0.897 0.103 0.250

---

9.
Density functional theory data (PBE) for NaAgBF6 after structural relaxation.

## Properties
Crystal system: triclinic
Space-group type: No. 1

Lattice parameters (Å, degrees): 4.678 5.655 6.138 97.59 105.89 107.95
Fractional positions:
Na1 0.000 0.000 0.000
Ag1 0.046 0.495 0.514
B1 0.694 0.423 0.963
F1 0.141 0.203 0.367
F2 0.502 0.558 0.864
F3 0.536 0.243 0.069
F4 0.791 0.296 0.798
F5 0.962 0.795 0.656
F6 0.974 0.611 0.140

---

Respective density values: 7.18, 4.09, 3.42, 2.86, 3.14, 3.94, 4.16, 3.27, 2.94 g cm⁻³.
Respective V values: 15.50, 18.64, 16.02, 19.38, 12.71, 14.64, 14.53, 15.01, 16.04 Å³ per atom.
Respective formation energy without anion corrections values: 101, -1955, -2420, -2340, -2628, -2134, -2097, -2398, -2227 meV/atom.